Below is an optimized crystal structure of Mn2TcIr, with properties calculated at the PBE level.

Structure (POSCAR):
```
Mn2TcIr
1.0
2.652 0.000 0.000
0.000 2.652 0.000
0.000 0.000 7.396
Tc Mn Ir
1 2 1
Direct
0.500 0.500 0.250 Tc
0.000 0.000 0.503 Mn
0.000 0.000 0.997 Mn
0.500 0.500 0.750 Ir
```

- E: -9.389 eV/atom

=====

Below is an optimized crystal structure of TiMnTcIr, with properties calculated at the PBE level.

Structure (POSCAR):
```
TiMnTcIr
1.0
-0.709 -1.018 -4.148
2.459 -2.984 -1.948
-1.681 -3.856 -1.026
Tc Ti Mn Ir
1 1 1 1
Direct
0.000 0.000 0.000 Tc
0.250 0.250 0.250 Ti
0.750 0.750 0.750 Mn
0.500 0.500 0.500 Ir
```

- E: -9.487 eV/atom

=====

Below is an optimized crystal structure of MnVTcIr, with properties calculated at the PBE level.

Structure (POSCAR):
```
MnVTcIr
1.0
4.276 0.000 0.000
2.138 3.704 0.000
2.138 1.235 3.492
Tc Ir Mn V
1 1 1 1
Direct
0.500 0.500 0.500 Tc
0.000 0.000 0.000 Ir
0.250 0.250 0.250 Mn
0.750 0.750 0.750 V
```

- E: -9.639 eV/atom

=====

Below is an optimized crystal structure of MnTcIrW, with properties calculated at the PBE level.

Structure (POSCAR):
```
MnTcIrW
1.0
4.378 0.000 0.000
2.189 3.791 0.000
2.189 1.264 3.574
W Ir Mn Tc
1 1 1 1
Direct
0.250 0.250 0.250 W
0.000 0.000 0.000 Ir
0.750 0.750 0.750 Mn
0.500 0.500 0.500 Tc
```

- E: -10.382 eV/atom

=====

Below is an optimized crystal structure of YMnTcIr2, with properties calculated at the PBE level.

Structure (POSCAR):
```
YMnTcIr2
1.0
-3.153 -2.846 -1.388
2.106 -0.217 -4.340
2.496 -3.440 1.383
Mn Tc Ir Y
1 1 2 1
Direct
0.000 0.000 0.000 Mn
0.500 0.500 0.500 Tc
0.000 0.000 0.500 Ir
0.500 0.000 0.000 Ir
0.000 0.500 0.000 Y
```

- E: -7.719 eV/atom

=====

Below is an optimized crystal structure of YMn2TcIr, with properties calculated at the PBE level.

Structure (POSCAR):
```
YMn2TcIr
1.0
4.488 0.000 0.000
0.000 5.196 0.000
0.000 0.000 4.488
Ir Mn Tc Y
1 2 1 1
Direct
0.000 0.000 0.000 Ir
0.500 0.000 0.000 Mn
0.000 0.000 0.500 Mn
0.500 0.500 0.500 Tc
0.000 0.500 0.000 Y
```

- E: -7.450 eV/atom

=====

Below is an optimized crystal structure of MnZnTcIr, with properties calculated at the PBE level.

Structure (POSCAR):
```
MnZnTcIr
1.0
-0.570 -3.907 1.619
1.352 -3.423 -2.160
3.350 -2.232 1.418
Zn Tc Ir Mn
1 1 1 1
Direct
0.750 0.750 0.750 Zn
0.000 0.000 0.000 Tc
0.500 0.500 0.500 Ir
0.250 0.250 0.250 Mn
```

- E: -7.472 eV/atom

=====

Below is an optimized crystal structure of MnTeIr2, with properties calculated at the PBE level.

Structure (POSCAR):
```
MnTeIr2
1.0
-1.871 -3.590 2.578
-1.247 -3.330 -3.224
4.205 2.246 0.553
Mn Ir Te
1 2 1
Direct
0.250 0.750 0.500 Mn
0.500 0.500 0.000 Ir
0.000 0.000 0.000 Ir
0.750 0.250 0.500 Te
```

- Energy relative to the elements, uncorrected: 17.9 kJ/mol of atoms